Crystalline Li2Fe2SiO6 at its relaxed geometry, computed with GGA+U.

a = 5.357 Å, b = 5.538 Å, c = 6.069 Å
α = 90.00°, β = 90.00°, γ = 118.93°
Site moments in Bohr magnetons follow the coordinates.
Atoms (fractional coordinates):
Li: 0.000 0.000 0.215  0.01
Li: 0.000 0.000 0.785  0.01
Fe: 0.500 0.500 0.829  4.32
Fe: 0.000 0.500 0.171  4.32
Si: 0.500 0.000 0.500  0.03
O: 0.163 0.327 0.000  0.27
O: 0.837 0.673 0.000  0.27
O: 0.597 0.817 0.655  0.12
O: 0.220 0.817 0.345  0.12
O: 0.780 0.183 0.345  0.12
O: 0.403 0.183 0.655  0.12

The calculation puts the total moment at 0.91 μB per atom. The raw total energy is -72.11 eV for the cell shown. Its theoretical density is 2.63 g/cm3. The space group is C222, No. 21.